The following is a PBE calculation of a geometry-optimized Cu5PdI12 structure, from the Alexandria database.

a b c (Å): 7.0217 7.0217 14.1864
angles (deg): 94.51 94.51 122.60
Sites, in units of the cell vectors:
Cu (0.0000, 0.0000, 0.0000)
Cu (0.1637, 0.8363, 0.5000)
Cu (0.3338, 0.6662, 0.0000)
Cu (0.6662, 0.3338, 0.0000)
Cu (0.8363, 0.1637, 0.5000)
Pd (0.5000, 0.5000, 0.5000)
I (0.0186, 0.6841, 0.1143)
I (0.1261, 0.4472, 0.3895)
I (0.2211, 0.2211, 0.6171)
I (0.3159, 0.9814, 0.8857)
I (0.3503, 0.3503, 0.1124)
I (0.4472, 0.1261, 0.3895)
I (0.5528, 0.8739, 0.6105)
I (0.6497, 0.6497, 0.8876)
I (0.6841, 0.0186, 0.1143)
I (0.7789, 0.7789, 0.3829)
I (0.8739, 0.5528, 0.6105)
I (0.9814, 0.3159, 0.8857)

Formation energy from raw total energies   -0.05 eV per atom
Space-group type   C2/m (12)
Density   5.56 g/cm3